Computed, not measured: a relaxed TlCrPb2F8 crystal at the GGA+U level of DFT.

Results
DOS(E_F)   0.00 states/eV per cell
Raw total energy   -5.067 eV/atom

a = 4.8693 Å, b = 5.6049 Å, c = 7.9728 Å
α = 92.16°, β = 97.32°, γ = 100.45°
Positions (direct):
Tl 0.0000 0.0000 0.0000
Cr 0.0000 0.0000 0.5000
Pb 0.4456 0.5158 0.7440
Pb 0.5544 0.4842 0.2560
F 0.0207 0.7541 0.3181
F 0.1321 0.8050 0.6811
F 0.3674 0.2020 0.4904
F 0.4280 0.7201 0.0159
F 0.5720 0.2799 0.9841
F 0.6326 0.7980 0.5096
F 0.8679 0.1950 0.3189
F 0.9793 0.2459 0.6819